## LiRuF6 (PBE-GGA)

Data for a relaxed LiRuF6 crystal.

Computed properties:
Formation energy from raw total energies: -2.07 eV/atom
E: -38.9 eV for the cell shown

CIF file:
```
data_LiRuF6
_cell_length_a 5.0036
_cell_length_b 5.0036
_cell_length_c 4.6955
_cell_angle_alpha 90.00
_cell_angle_beta 90.00
_cell_angle_gamma 120.00
_space_group_name_H-M_alt 'P 3 1 2'
_space_group_IT_number 149
loop_
_space_group_symop_operation_xyz
'x,y,z'
'-y,x-y,z'
'-x+y,-x,z'
'-y,-x,-z'
'-x+y,y,-z'
'x,x-y,-z'
loop_
_atom_site_label
_atom_site_fract_x
_atom_site_fract_y
_atom_site_fract_z
Li1 0.0000 0.0000 0.0000
Ru1 0.6667 0.3333 0.5000
F1 0.3534 0.0304 0.7366
```


## Li2ScRuF (PBE-GGA)

Data for a relaxed Li2ScRuF crystal.

Computed properties:
Formation energy from raw total energies: 0.16 eV/atom
E: -20.5 eV for the cell shown

CIF file:
```
data_Li2ScRuF
_cell_length_a 5.238
_cell_length_b 5.238
_cell_length_c 3.776
_cell_angle_alpha 90.00
_cell_angle_beta 90.00
_cell_angle_gamma 90.00
_space_group_name_H-M_alt 'P 4/m m m'
_space_group_IT_number 123
_space_group_name_Hall '-P 4 2'
loop_
_atom_site_label
_atom_site_fract_x
_atom_site_fract_y
_atom_site_fract_z
Li1 0.000 0.500 0.000
Sc1 0.000 0.000 0.000
Ru1 0.500 0.500 0.500
F1 0.000 0.000 0.500
```


## LiSi2RuF (PBE-GGA)

Data for a relaxed LiSi2RuF crystal.

Computed properties:
Formation energy from raw total energies: -0.24 eV/atom
E: -25.1 eV for the cell shown

CIF file:
```
data_LiSi2RuF
_cell_length_a 4.476
_cell_length_b 4.476
_cell_length_c 4.970
_cell_angle_alpha 90.00
_cell_angle_beta 90.00
_cell_angle_gamma 90.00
_space_group_name_H-M_alt 'P 4/m m m'
_space_group_IT_number 123
_space_group_name_Hall '-P 4 2'
loop_
_atom_site_label
_atom_site_fract_x
_atom_site_fract_y
_atom_site_fract_z
Li1 0.000 0.000 0.000
Si1 0.000 0.500 0.500
Ru1 0.000 0.000 0.500
F1 0.500 0.500 0.000
```


## Sr2Li3RuF12 (PBE-GGA)

Data for a relaxed Sr2Li3RuF12 crystal.

Computed properties:
Formation energy from raw total energies: -2.65 eV/atom
E: -265.8 eV for the cell shown

CIF file:
```
data_Sr2Li3RuF12
_cell_length_a 7.5305
_cell_length_b 7.5305
_cell_length_c 16.7053
_cell_angle_alpha 90.00
_cell_angle_beta 90.00
_cell_angle_gamma 120.00
_space_group_name_H-M_alt 'R -3 m'
_space_group_IT_number 166
_space_group_name_Hall '-R 3 2"'
loop_
_atom_site_label
_atom_site_fract_x
_atom_site_fract_y
_atom_site_fract_z
Sr1 0.0000 0.0000 0.1656
Li1 0.0000 0.5000 0.0000
Ru1 0.0000 0.0000 0.5000
F1 0.0557 0.5278 0.4030
F2 0.0945 0.5473 0.1041
```


## SrLiRuF6 (PBE-GGA)

Data for a relaxed SrLiRuF6 crystal.

Computed properties:
Formation energy from raw total energies: -2.67 eV/atom
E: -48.1 eV for the cell shown

CIF file:
```
data_SrLiRuF6
_cell_length_a 5.3406
_cell_length_b 5.3406
_cell_length_c 5.3067
_cell_angle_alpha 90.00
_cell_angle_beta 90.00
_cell_angle_gamma 120.00
_space_group_name_H-M_alt 'P 3 1 2'
_space_group_IT_number 149
loop_
_space_group_symop_operation_xyz
'x,y,z'
'-y,x-y,z'
'-x+y,-x,z'
'-y,-x,-z'
'-x+y,y,-z'
'x,x-y,-z'
loop_
_atom_site_label
_atom_site_fract_x
_atom_site_fract_y
_atom_site_fract_z
Sr1 0.0000 0.0000 0.0000
Li1 0.3333 0.6667 0.5000
Ru1 0.6667 0.3333 0.5000
F1 0.3629 0.0077 0.7128
```


## Li2TiRuF (PBE-GGA)

Data for a relaxed Li2TiRuF crystal.

Computed properties:
Formation energy from raw total energies: -0.70 eV/atom
E: -26.4 eV for the cell shown

CIF file:
```
data_Li2TiRuF
_cell_length_a 3.544
_cell_length_b 3.544
_cell_length_c 5.909
_cell_angle_alpha 90.00
_cell_angle_beta 90.00
_cell_angle_gamma 90.00
_space_group_name_H-M_alt 'P 4/m m m'
_space_group_IT_number 123
_space_group_name_Hall '-P 4 2'
loop_
_atom_site_label
_atom_site_fract_x
_atom_site_fract_y
_atom_site_fract_z
Li1 0.000 0.500 0.000
Ti1 0.000 0.000 0.500
Ru1 0.500 0.500 0.500
F1 0.500 0.500 0.000
```


| no. | total magnetization (μB/cell) | calculated volume (A^3/atom) |
| --- | --- | --- |
| 1 | 3.0 | 12.726 |
| 2 | 0.8 | 20.719 |
| 3 | 0.0 | 19.920 |
| 4 | 8.4 | 15.193 |
| 5 | 1.0 | 14.565 |
| 6 | 0.0 | 14.842 |